A geometry-optimized Cs2NpPa2Se6 structure. Source: Alexandria via LeMat-Bulk, functional PBE.

**ΔE_f (raw)**: -1.3374 eV per atom
**Volume**: 790 Å³ per cell

CIF file:
```
data_Cs2NpPa2Se6
_cell_length_a 7.248
_cell_length_b 12.559
_cell_length_c 8.996
_cell_angle_alpha 90.00
_cell_angle_beta 105.35
_cell_angle_gamma 90.00
_space_group_name_H-M_alt 'C 1 2/m 1'
_space_group_IT_number 12
_space_group_name_Hall '-C 2y'
loop_
_atom_site_label
_atom_site_fract_x
_atom_site_fract_y
_atom_site_fract_z
_atom_site_occupancy
Cs1 0.000 0.166 0.000 1
Np1 0.000 0.000 0.500 1
Pa1 0.000 0.334 0.500 1
Se1 0.222 0.500 0.687 1
Se2 0.230 0.169 0.685 1
```

***

A geometry-optimized Cs3Np2PaTe6 structure. Source: Alexandria via LeMat-Bulk, functional PBE.

**ΔE_f (raw)**: -0.9045 eV per atom
**Volume**: 977 Å³ per cell

CIF file:
```
data_Cs3Np2PaTe6
_cell_length_a 7.916
_cell_length_b 13.712
_cell_length_c 9.378
_cell_angle_alpha 90.00
_cell_angle_beta 106.34
_cell_angle_gamma 90.00
_space_group_name_H-M_alt 'C 1 2/m 1'
_space_group_IT_number 12
_space_group_name_Hall '-C 2y'
loop_
_atom_site_label
_atom_site_fract_x
_atom_site_fract_y
_atom_site_fract_z
_atom_site_occupancy
Cs1 0.000 0.000 0.000 1
Cs2 0.000 0.332 0.000 1
Np1 0.000 0.167 0.500 1
Pa1 0.000 0.500 0.500 1
Te1 0.228 0.336 0.693 1
Te2 0.236 0.000 0.693 1
```